# 1
PrSmOsO6: optimized geometry, GGA-PBE.

POSCAR file:
```
PrSmOsO6
1.0
-1.3066 -3.3125 4.3706
4.4078 -1.2670 -3.2785
5.8821 5.3739 5.8314
Pr Sm Os O
2 2 2 12
Direct
0.0000 0.0000 0.0000
0.0000 0.0000 0.5000
0.3333 0.6667 0.2500
0.6667 0.3333 0.7500
0.6667 0.3333 0.2500
0.3333 0.6667 0.7500
0.6713 0.6207 0.1381
0.9494 0.3287 0.1381
0.3287 0.9494 0.6381
0.0506 0.6713 0.8619
0.3793 0.3287 0.3619
0.9494 0.6207 0.3619
0.6207 0.9494 0.8619
0.6713 0.0506 0.3619
0.0506 0.3793 0.6381
0.3793 0.0506 0.1381
0.6207 0.6713 0.6381
0.3287 0.3793 0.8619
```

Results
Its electronic total energy is -7.893 eV/atom. The calculation puts the formation energy (no corrections) at -2.285 eV/atom. The magnetization is 2.01 μB/f.u.

***

# 2
SrPrOs2O8: optimized geometry, GGA-PBE.

POSCAR file:
```
SrPrOs2O8
1.0
5.9915 0.0000 0.0000
-2.9957 5.1888 0.0000
0.0000 0.0000 7.3733
Sr Pr Os O
1 1 2 8
Direct
0.0000 0.0000 0.0000
0.0000 0.0000 0.5000
0.6667 0.3333 0.1945
0.3333 0.6667 0.8055
0.3333 0.6667 0.0481
0.3302 0.1654 0.2766
0.8346 0.1648 0.2766
0.6667 0.3333 0.9519
0.1654 0.8352 0.7234
0.6698 0.8346 0.7234
0.1648 0.3302 0.7234
0.8352 0.6698 0.2766
```

Results
Its electronic total energy is -7.325 eV/atom. The calculation puts the formation energy (no corrections) at -1.610 eV/atom. The magnetization is 3.01 μB/f.u.